[1]
This record from the Open Quantum Materials Database describes a geometry-optimized SmCuGe2Pd structure. The functional is GGA-PBE.

Cell lengths 5.9730, 5.9730, 5.9730 Å; angles 138.88, 138.88, 59.55 degrees
Fractional coordinates of all 5 atoms:
Sm  0.0000  0.0000  0.0000
Cu  0.2500  0.7500  0.5000
Ge  0.3802  0.3802  0.0000
Ge  0.6198  0.6198  0.0000
Pd  0.7500  0.2500  0.5000

[2]
This record from the Open Quantum Materials Database describes a geometry-optimized RbLiHfTe3 structure. The functional is GGA-PBE.

Summary:
offset from the most stable computed form: 0.000 eV per atom

Cell lengths 16.4161, 4.2497, 11.4632 Å; angles 90.00, 90.00, 90.00 degrees
Fractional coordinates of all 24 atoms:
Rb  0.2297  0.2500  0.0377
Rb  0.2703  0.7500  0.5377
Rb  0.7297  0.2500  0.4623
Rb  0.7703  0.7500  0.9623
Li  0.0142  0.7500  0.0921
Li  0.4858  0.2500  0.5921
Li  0.5142  0.7500  0.4079
Li  0.9858  0.2500  0.9079
Hf  0.0128  0.2500  0.3309
Hf  0.4872  0.7500  0.8309
Hf  0.5128  0.2500  0.1691
Hf  0.9872  0.7500  0.6691
Te  0.0863  0.7500  0.8689
Te  0.0887  0.2500  0.5669
Te  0.1268  0.7500  0.2676
Te  0.3732  0.2500  0.7676
Te  0.4113  0.7500  0.0669
Te  0.4137  0.2500  0.3689
Te  0.5863  0.7500  0.6311
Te  0.5887  0.2500  0.9331
Te  0.6268  0.7500  0.2324
Te  0.8732  0.2500  0.7324
Te  0.9113  0.7500  0.4331
Te  0.9137  0.2500  0.1311

[3]
This record from the Open Quantum Materials Database describes a geometry-optimized NdNpSb2 structure. The functional is GGA-PBE.

Cell lengths 4.4592, 4.4592, 6.3010 Å; angles 90.00, 90.00, 90.00 degrees
Fractional coordinates of all 4 atoms:
Nd  0.0000  0.0000  0.0000
Np  0.5000  0.5000  0.5000
Sb  0.0000  0.0000  0.5000
Sb  0.5000  0.5000  0.0000

[4]
This record from the Open Quantum Materials Database describes a geometry-optimized TbZnPd structure. The functional is GGA-PBE.

Summary:
energy of formation from the pure elements: -0.750 eV/atom

Cell lengths 7.3096, 7.3096, 3.8785 Å; angles 90.00, 90.00, 120.00 degrees
Fractional coordinates of all 9 atoms:
Tb  0.0000  0.5933  0.0000
Tb  0.4067  0.4067  0.0000
Tb  0.5933  0.0000  0.0000
Zn  0.0000  0.2483  0.5000
Zn  0.2483  0.0000  0.5000
Zn  0.7517  0.7517  0.5000
Pd  0.0000  0.0000  0.0000
Pd  0.3333  0.6667  0.5000
Pd  0.6667  0.3333  0.5000

[5]
This record from the Open Quantum Materials Database describes a geometry-optimized LaIn5Co structure. The functional is GGA-PBE.

Cell lengths 4.6645, 4.6645, 7.6668 Å; angles 90.00, 90.00, 90.00 degrees
Fractional coordinates of all 7 atoms:
La  0.0000  0.0000  0.0000
In  0.0000  0.5000  0.3119
In  0.0000  0.5000  0.6881
In  0.5000  0.0000  0.3119
In  0.5000  0.0000  0.6881
In  0.5000  0.5000  0.0000
Co  0.0000  0.0000  0.5000

[6]
This record from the Open Quantum Materials Database describes a geometry-optimized PrDyPO structure. The functional is GGA-PBE.

Summary:
offset from the most stable computed form: 0.000 eV per atom

Cell lengths 4.3287, 7.4812, 5.9923 Å; angles 90.00, 90.00, 90.00 degrees
Fractional coordinates of all 8 atoms:
Pr  0.0000  0.1979  0.0000
Pr  0.0000  0.8021  0.5000
Dy  0.5000  0.3813  0.5692
Dy  0.5000  0.6187  0.0692
P  0.0000  0.1800  0.4953
P  0.0000  0.8200  0.9953
O  0.5000  0.3408  0.9348
O  0.5000  0.6592  0.4348

[7]
This record from the Open Quantum Materials Database describes a geometry-optimized ZrCuGe2 structure. The functional is GGA-PBE.

Cell lengths 4.6519, 4.6519, 4.6519 Å; angles 60.00, 60.00, 60.00 degrees
Fractional coordinates of all 4 atoms:
Zr  0.0000  0.0000  0.0000
Cu  0.2500  0.2500  0.2500
Ge  0.5000  0.5000  0.5000
Ge  0.7500  0.7500  0.7500

[8]
This record from the Open Quantum Materials Database describes a geometry-optimized HfHgNOF structure. The functional is GGA-PBE.

Cell lengths 3.9922, 4.2736, 4.1976 Å; angles 90.00, 90.00, 90.00 degrees
Fractional coordinates of all 5 atoms:
Hf  0.0000  0.0000  0.0000
Hg  0.5000  0.5000  0.6729
N  0.0000  0.5000  0.8726
O  0.5000  0.0000  0.0779
F  0.0000  0.0000  0.4891

Number 1: VASP energy -5.25 eV per atom. Number 2: VASP energy -4.68 eV per atom. Number 3: VASP energy -7.16 eV per atom. Number 4: VASP energy -4.44 eV per atom. Number 5: VASP energy -3.96 eV per atom. Number 6: VASP energy -6.93 eV per atom. Number 7: VASP energy -5.30 eV per atom. Number 8: VASP energy -6.74 eV per atom.